The following is a PBE calculation of an optimized crystal structure of BeCu2Mo, from Alexandria via LeMat-Bulk.

The space group is P4/mmm (No. 123) and the conventional cell measures 4.4130, 4.4130 and 2.6182 Å, with angles of 90.00, 90.00 and 90.00 degrees. The inequivalent atoms are Be at (0.0000, 0.0000, 0.0000), Cu at (0.0000, 0.5000, 0.5000) and Mo at (0.5000, 0.5000, 0.0000).

The formation energy is 384 meV/atom. The value obtained for the total moment is 0.00 μB per formula unit.

The following is a PBE calculation of an optimized crystal structure of AlZnFeRu, from Alexandria via LeMat-Bulk.

The space group is F-43m (No. 216) and the conventional cell measures 5.9556, 5.9556 and 5.9556 Å, with angles of 90.00, 90.00 and 90.00 degrees. The inequivalent atoms are Al at (0.0000, 0.0000, 0.0000), Zn at (0.0000, 0.0000, 0.5000), Fe at (0.2500, 0.2500, 0.7500) and Ru at (0.2500, 0.2500, 0.2500).

The formation energy is -178 meV/atom. The value obtained for the total moment is 2.19 μB per formula unit.

The following is a PBE calculation of an optimized crystal structure of GdUFeTc, from Alexandria via LeMat-Bulk.

The space group is F-43m (No. 216) and the conventional cell measures 6.7453, 6.7453 and 6.7453 Å, with angles of 90.00, 90.00 and 90.00 degrees. The inequivalent atoms are Gd at (0.0000, 0.0000, 0.0000), U at (0.0000, 0.0000, 0.5000), Fe at (0.2500, 0.2500, 0.2500) and Tc at (0.2500, 0.2500, 0.7500).

The formation energy is 197 meV/atom. The value obtained for the total moment is 6.68 μB per formula unit.

The following is a PBE calculation of an optimized crystal structure of CuTcHg3, from Alexandria via LeMat-Bulk.

The space group is Pm-3m (No. 221) and the conventional cell measures 5.3274, 5.3274 and 5.3274 Å, with angles of 90.00, 90.00 and 90.00 degrees. The inequivalent atoms are Cu at (0.0000, 0.0000, 0.0000), Tc at (0.5000, 0.5000, 0.5000) and Hg at (0.0000, 0.5000, 0.5000).

The excess energy over the best structure of this formula in the dataset is 80 meV per atom. The formation energy is 1090 meV/atom. The value obtained for the total moment is 2.57 μB per formula unit.